No. 1
# CsBa3Tc

An optimized crystal structure of CsBa3Tc (PBE, Alexandria).

Cell: 6.365 6.365 6.365 Å, 90.00 90.00 90.00°
Site moments in Bohr magnetons follow the coordinates.
Element x y z (fractional)
Ba1 0.500 0.000 0.000  0.03
Tc1 0.000 0.000 0.000  1.26
Ba2 0.000 0.500 0.000  0.00
Cs1 0.500 0.500 0.500  0.01
Ba3 0.000 0.000 0.500  -0.03

Output
electronic total energy	-0.21121	Ry per atom
crystal system	cubic

=====

No. 2
# SmVSi2

An optimized crystal structure of SmVSi2 (PBE, Alexandria).

Cell: 4.145 4.145 5.632 Å, 68.41 68.41 60.00°
Site moments in Bohr magnetons follow the coordinates.
Element x y z (fractional)
Sm1 0.500 0.500 0.500  -0.03
Si1 0.284 0.284 0.148  -0.02
Si2 0.716 0.716 0.852  -0.02
V1 0.000 0.000 0.000  1.13

Output
ΔE_f (raw)	-0.393	eV per atom
crystal system	trigonal

=====

No. 3
# SmMgSnIr

An optimized crystal structure of SmMgSnIr (PBE, Alexandria).

Cell: 4.858 4.858 4.858 Å, 60.00 60.00 60.00°
Element x y z (fractional)
Mg1 0.500 0.500 0.500
Ir1 0.000 0.000 0.000
Sn1 0.250 0.250 0.250
Sm1 0.750 0.750 0.750

Output
electronic total energy	-0.38639	Ry per atom
crystal system	cubic